This record from Alexandria via LeMat-Bulk describes crystalline YMnSb2 at its relaxed geometry. The functional is PBEsol.

Unit cell a=4.128 b=4.128 c=6.801 alpha=72.33 beta=72.33 gamma=60.00
Last column: magnetic moment on the atom in μB.
Atoms (fractional coordinates):
Mn (0.000, 0.000, 0.000)  3.12
Sb (0.265, 0.265, 0.205)  -0.07
Sb (0.735, 0.735, 0.795)  -0.07
Y (0.500, 0.500, 0.500)  -0.07

Summary:
SG = R-3m
Formation energy (no corrections) = -0.359 eV/atom